No. 1
! ZnRuO3 PBE optimized geometry; values from VASP
&SYSTEM
  ibrav = 0, nat = 5, ntyp = 3
/
ATOMIC_SPECIES
Zn 65.41 Zn.upf
Ru 101.07 Ru.upf
O 16.00 O.upf
ATOMIC_POSITIONS crystal
Zn 0.000 0.000 0.000
Ru 0.500 0.500 0.500
O 0.000 0.000 0.500
O 0.000 0.500 0.000
O 0.500 0.000 0.000
CELL_PARAMETERS angstrom
3.802 0.000 0.000
0.000 3.802 0.000
0.000 0.000 3.802
! Formation energy from raw total energies (eV per atom): 0.2203
! Total moment (μB/f.u.): 5.17
! Raw total energy (eV per atom): -4.865

=====

No. 2
! CaRhBr PBE optimized geometry; values from VASP
&SYSTEM
  ibrav = 0, nat = 6, ntyp = 3
/
ATOMIC_SPECIES
Ca 40.08 Ca.upf
Rh 102.91 Rh.upf
Br 79.90 Br.upf
ATOMIC_POSITIONS crystal
Ca 0.000 0.000 0.000
Ca 0.000 0.000 0.500
Rh 0.333 0.667 0.250
Rh 0.667 0.333 0.750
Br 0.333 0.667 0.750
Br 0.667 0.333 0.250
CELL_PARAMETERS angstrom
4.366 0.000 0.000
-2.183 3.781 0.000
0.000 0.000 7.850
! Formation energy from raw total energies (eV per atom): -0.4931
! Total moment (μB/f.u.): 0.00
! Raw total energy (eV per atom): -4.168

=====

No. 3
! RbNiAgSb2 PBE optimized geometry; values from VASP
&SYSTEM
  ibrav = 0, nat = 5, ntyp = 4
/
ATOMIC_SPECIES
Rb 85.47 Rb.upf
Ni 58.69 Ni.upf
Ag 107.87 Ag.upf
Sb 121.76 Sb.upf
ATOMIC_POSITIONS crystal
Rb 0.000 0.000 0.000
Ni 0.500 0.500 0.500
Ag 0.500 0.500 0.000
Sb 0.000 0.500 0.500
Sb 0.500 0.000 0.500
CELL_PARAMETERS angstrom
5.050 0.000 0.000
0.000 5.050 0.000
0.000 0.000 5.295
! Formation energy from raw total energies (eV per atom): 0.0768
! Total moment (μB/f.u.): 0.00
! Raw total energy (eV per atom): -3.492